! Sr3Zn2RuO6, optimized geometry, DFT GGA-PBE; values from VASP
! * E_tot: -5.5987 eV/atom
! * E_form (uncorrected): -20.57 eV/f.u.
! * D(E_F): 3.86 states/eV/f.u.
&SYSTEM
  ibrav = 0, nat = 12, ntyp = 4
/
ATOMIC_SPECIES
O 16.00 O.upf
Ru 101.07 Ru.upf
Sr 87.62 Sr.upf
Zn 65.41 Zn.upf
CELL_PARAMETERS angstrom
-1.120 1.724 5.316
-4.276 -1.353 -3.517
0.264 -6.240 2.080
ATOMIC_POSITIONS angstrom
O -1.455 -3.021 5.289
Ru 0.132 -3.120 1.040
O -4.248 -1.967 1.303
O -3.638 -3.712 3.493
O -3.676 -2.848 -1.410
Sr -3.058 -4.242 0.732
Zn -3.186 -1.230 -0.272
Sr -2.073 -1.627 3.146
O -1.493 -2.157 0.385
Zn -1.946 -4.639 4.151
O -0.884 -3.901 2.575
Sr 0.000 0.000 0.000